[1]
# Tb12PrNd7, relaxed, DFT PBE-GGA
data_Tb12PrNd7
_chemical_formula_sum 'Tb24 Pr2 Nd14'
_symmetry_space_group_name_H-M 'I m -3 m'
_symmetry_Int_Tables_number 229
_symmetry_space_group_name_Hall '-I 4 2 3'
_cell_length_a 11.399
_cell_length_b 11.399
_cell_length_c 11.399
_cell_angle_alpha 90.00
_cell_angle_beta 90.00
_cell_angle_gamma 90.00
loop_
_atom_site_label
_atom_site_fract_x
_atom_site_fract_y
_atom_site_fract_z
_atom_site_occupancy
Tb1 0.000 0.250 0.250 1
Pr1 0.000 0.000 0.000 1
Nd1 0.000 0.000 0.500 1
Nd2 0.250 0.250 0.250 1
# calculated formation energy: 0.61 eV/atom
# DOS(E_F): 59.3 states/eV/cell
# total moment: 0.000 μB per atom
# energy above the most stable polymorph in this dataset: 7.73 eV per formula unit

---

[2]
# Tb8Pr3Nd2, relaxed, DFT PBE-GGA
data_Tb8Pr3Nd2
_chemical_formula_sum 'Tb16 Pr6 Nd4'
_symmetry_space_group_name_H-M 'C 1 2/m 1'
_symmetry_Int_Tables_number 12
_symmetry_space_group_name_Hall '-C 2y'
_cell_length_a 20.603
_cell_length_b 7.737
_cell_length_c 5.686
_cell_angle_alpha 90.00
_cell_angle_beta 90.04
_cell_angle_gamma 90.00
loop_
_atom_site_label
_atom_site_fract_x
_atom_site_fract_y
_atom_site_fract_z
_atom_site_occupancy
Tb1 0.108 0.210 0.000 1
Tb2 0.133 0.500 0.500 1
Tb3 0.167 0.000 0.501 1
Pr1 0.000 0.207 0.500 1
Pr2 0.000 0.500 0.000 1
Nd1 0.242 0.500 0.999 1
# calculated formation energy: 0.24 eV/atom
# DOS(E_F): 45.9 states/eV/cell
# total moment: 0.000 μB per atom
# energy above the most stable polymorph in this dataset: 2.93 eV per formula unit

---

total moment of number 1 (Tb12PrNd7)?
0.000 μB per atom

---

What is the total moment in the second record?
0.000 μB per atom

---

Among the records above, which one has the highest calculated formation energy?
Tb12PrNd7

---

Which value of total moment does entry 1 give?
0.000 μB per atom